This record from Alexandria via LeMat-Bulk describes Ca2BiF after structural relaxation. The functional is GGA-PBE.

```
Ca2BiF
1.0
7.321 0.000 0.000
0.000 7.321 0.000
3.660 3.660 3.897
Ca Bi F
4 2 2
direct
0.534 0.125 0.250 Ca
0.216 0.625 0.250 Ca
0.375 0.466 0.750 Ca
0.875 0.784 0.750 Ca
0.000 0.000 0.000 Bi
0.750 0.250 0.500 Bi
0.500 0.500 0.000 F
0.250 0.750 0.500 F
```

ΔE_f (raw) = -1823 meV/atom
calculated volume = 208.9 Å³/cell
space-group type = I-42d
E_tot = -4.2619 eV per atom
calculated density = 4.9 Mg/m³
crystal system = tetragonal
ΔE to the lowest computed polymorph = 0.715 eV per formula unit